Record 1
Material: AcLa12Er7
Method: DFT, PBE-GGA
State: relaxed

a b c (Å): 11.561 11.561 11.561
angles (deg): 116.50 116.50 116.50
Sites, in units of the cell vectors:
Ac (0.000, 0.000, 0.000)
La (0.048, 0.843, 0.404)
La (0.157, 0.596, 0.952)
La (0.180, 0.502, 0.540)
La (0.404, 0.048, 0.843)
La (0.460, 0.820, 0.498)
La (0.498, 0.460, 0.820)
La (0.502, 0.540, 0.180)
La (0.540, 0.180, 0.502)
La (0.596, 0.952, 0.157)
La (0.820, 0.498, 0.460)
La (0.843, 0.404, 0.048)
La (0.952, 0.157, 0.596)
Er (0.022, 0.961, 0.713)
Er (0.039, 0.287, 0.978)
Er (0.287, 0.978, 0.039)
Er (0.500, 0.500, 0.500)
Er (0.713, 0.022, 0.961)
Er (0.961, 0.713, 0.022)
Er (0.978, 0.039, 0.287)

E above lowest polymorph in meV per atom: 92
Density of states at the Fermi level in states/eV/f.u.: 33.478
Energy in eV/atom: -4.477
SG: No. 148
ΔE_f in meV per atom: 282


Record 2
Material: AcLaEr2
Method: DFT, PBE-GGA
State: relaxed

a b c (Å): 5.343 5.343 4.956
angles (deg): 90.00 90.00 90.00
Sites, in units of the cell vectors:
Ac (0.000, 0.000, 0.000)
La (0.500, 0.500, 0.000)
Er (0.000, 0.500, 0.500)
Er (0.500, 0.000, 0.500)

E above lowest polymorph in meV per atom: 0
Density of states at the Fermi level in states/eV/f.u.: 5.601
Energy in eV/atom: -4.497
SG: No. 123
ΔE_f in meV per atom: 43


Record 3
Material: Ac7La4Er
Method: DFT, PBE-GGA
State: relaxed

a b c (Å): 6.579 7.374 10.657
angles (deg): 106.07 93.36 90.52
Sites, in units of the cell vectors:
Ac (0.000, 0.000, 0.000)
Ac (0.055, 0.829, 0.330)
Ac (0.429, 0.245, 0.492)
Ac (0.471, 0.140, 0.851)
Ac (0.529, 0.860, 0.149)
Ac (0.571, 0.755, 0.508)
Ac (0.945, 0.171, 0.670)
La (0.103, 0.663, 0.671)
La (0.407, 0.392, 0.194)
La (0.593, 0.608, 0.806)
La (0.897, 0.337, 0.329)
Er (0.000, 0.500, 0.000)

Density of states at the Fermi level in states/eV/f.u.: 19.992
Energy in eV/atom: -4.339
SG: No. 2
ΔE_f in meV per atom: 80


Record 4
Material: Ac4La8Er
Method: DFT, PBE-GGA
State: relaxed

a b c (Å): 8.276 8.276 8.276
angles (deg): 91.35 91.35 91.35
Sites, in units of the cell vectors:
Ac (0.000, 0.000, 0.000)
Ac (0.000, 0.500, 0.500)
Ac (0.500, 0.000, 0.500)
Ac (0.500, 0.500, 0.000)
La (0.236, 0.236, 0.748)
La (0.236, 0.748, 0.236)
La (0.239, 0.239, 0.239)
La (0.252, 0.764, 0.764)
La (0.748, 0.236, 0.236)
La (0.761, 0.761, 0.761)
La (0.764, 0.252, 0.764)
La (0.764, 0.764, 0.252)
Er (0.500, 0.500, 0.500)

Density of states at the Fermi level in states/eV/f.u.: 22.777
Energy in eV/atom: -4.180
SG: No. 166
ΔE_f in meV per atom: 467


Record 5
Material: AcLaEr6
Method: DFT, PBE-GGA
State: relaxed

a b c (Å): 9.904 6.886 8.855
angles (deg): 90.00 102.69 90.00
Sites, in units of the cell vectors:
Ac (0.000, 0.000, 0.000)
Ac (0.500, 0.500, 0.000)
La (0.000, 0.500, 0.500)
La (0.500, 0.000, 0.500)
Er (0.123, 0.500, 0.920)
Er (0.215, 0.260, 0.297)
Er (0.215, 0.740, 0.297)
Er (0.285, 0.240, 0.703)
Er (0.285, 0.760, 0.703)
Er (0.377, 0.000, 0.080)
Er (0.623, 0.000, 0.920)
Er (0.715, 0.240, 0.297)
Er (0.715, 0.760, 0.297)
Er (0.785, 0.260, 0.703)
Er (0.785, 0.740, 0.703)
Er (0.877, 0.500, 0.080)

Density of states at the Fermi level in states/eV/f.u.: 16.360
Energy in eV/atom: -4.146
SG: No. 12
ΔE_f in meV per atom: 405


Record 6
Material: Ac7La3Er
Method: DFT, PBE-GGA
State: relaxed

a b c (Å): 8.358 8.358 6.949
angles (deg): 93.87 93.87 84.36
Sites, in units of the cell vectors:
Ac (0.000, 0.000, 0.000)
Ac (0.074, 0.413, 0.260)
Ac (0.261, 0.261, 0.772)
Ac (0.413, 0.074, 0.260)
Ac (0.587, 0.926, 0.740)
Ac (0.739, 0.739, 0.228)
Ac (0.926, 0.587, 0.740)
La (0.336, 0.664, 0.000)
La (0.500, 0.500, 0.500)
La (0.664, 0.336, 0.000)
Er (0.000, 0.000, 0.500)

Density of states at the Fermi level in states/eV/f.u.: 18.724
Energy in eV/atom: -4.118
SG: No. 12
ΔE_f in meV per atom: 255


Record 7
Material: AcLaEr2
Method: DFT, PBE-GGA
State: relaxed

a b c (Å): 8.307 8.307 8.307
angles (deg): 90.00 90.00 90.00
Sites, in units of the cell vectors:
Ac (0.000, 0.000, 0.000)
Ac (0.000, 0.500, 0.500)
Ac (0.500, 0.000, 0.500)
Ac (0.500, 0.500, 0.000)
La (0.000, 0.000, 0.500)
La (0.000, 0.500, 0.000)
La (0.500, 0.000, 0.000)
La (0.500, 0.500, 0.500)
Er (0.250, 0.250, 0.250)
Er (0.250, 0.250, 0.750)
Er (0.250, 0.750, 0.250)
Er (0.250, 0.750, 0.750)
Er (0.750, 0.250, 0.250)
Er (0.750, 0.250, 0.750)
Er (0.750, 0.750, 0.250)
Er (0.750, 0.750, 0.750)

E above lowest polymorph in meV per atom: 45
Density of states at the Fermi level in states/eV/f.u.: 6.556
Energy in eV/atom: -4.453
SG: No. 225
ΔE_f in meV per atom: 88


Record 8
Material: Ac2La2Er
Method: DFT, PBE-GGA
State: relaxed

a b c (Å): 6.624 6.624 9.893
angles (deg): 107.75 107.75 75.55
Sites, in units of the cell vectors:
Ac (0.032, 0.719, 0.852)
Ac (0.281, 0.968, 0.648)
Ac (0.719, 0.032, 0.352)
Ac (0.968, 0.281, 0.148)
La (0.274, 0.410, 0.516)
La (0.410, 0.274, 0.016)
La (0.590, 0.726, 0.984)
La (0.726, 0.590, 0.484)
Er (0.236, 0.764, 0.250)
Er (0.764, 0.236, 0.750)

Density of states at the Fermi level in states/eV/f.u.: 6.736
Energy in eV/atom: -4.404
SG: No. 15
ΔE_f in meV per atom: 123


Record 9
Material: Ac2La5Er2
Method: DFT, PBE-GGA
State: relaxed

a b c (Å): 6.476 6.499 8.354
angles (deg): 82.61 75.37 80.52
Sites, in units of the cell vectors:
Ac (0.224, 0.442, 0.117)
Ac (0.776, 0.558, 0.883)
La (0.000, 0.000, 0.000)
La (0.114, 0.216, 0.556)
La (0.448, 0.889, 0.229)
La (0.552, 0.111, 0.771)
La (0.886, 0.784, 0.444)
Er (0.334, 0.663, 0.659)
Er (0.666, 0.337, 0.341)

Density of states at the Fermi level in states/eV/f.u.: 15.137
Energy in eV/atom: -4.631
SG: No. 2
ΔE_f in meV per atom: 33


Record 10
Material: Ac5La8Er
Method: DFT, PBE-GGA
State: relaxed

a b c (Å): 7.580 8.526 9.363
angles (deg): 111.41 90.00 102.72
Sites, in units of the cell vectors:
Ac (0.000, 0.000, 0.000)
Ac (0.074, 0.294, 0.443)
Ac (0.220, 0.858, 0.290)
Ac (0.367, 0.427, 0.149)
Ac (0.643, 0.571, 0.856)
La (0.147, 0.575, 0.863)
La (0.291, 0.138, 0.720)
La (0.434, 0.724, 0.583)
La (0.577, 0.285, 0.433)
La (0.716, 0.863, 0.292)
La (0.783, 0.141, 0.722)
La (0.857, 0.426, 0.144)
La (0.927, 0.716, 0.570)
Er (0.505, 0.001, 0.004)

Density of states at the Fermi level in states/eV/f.u.: 26.443
Energy in eV/atom: -4.584
SG: No. 1
ΔE_f in meV per atom: 25